Run one
ZrVAs3 | PBE | relaxed

```
data_ZrVAs3
_chemical_formula_sum 'Zr1 V1 As3'
_cell_length_a 4.719
_cell_length_b 4.719
_cell_length_c 4.719
_cell_angle_alpha 90.00
_cell_angle_beta 90.00
_cell_angle_gamma 90.00
_space_group_name_H-M_alt 'P m -3 m'
_space_group_IT_number 221
_space_group_name_Hall '-P 4 2 3'
loop_
_atom_site_label
_atom_site_type_symbol
_atom_site_fract_x
_atom_site_fract_y
_atom_site_fract_z
Zr1 Zr 0.000 0.000 0.000
V1 V 0.500 0.500 0.500
As1 As 0.000 0.500 0.500
```


Run two
ZrVAs3 | PBE | relaxed

```
data_ZrVAs3
_chemical_formula_sum 'Zr1 V1 As3'
_cell_length_a 5.138
_cell_length_b 5.138
_cell_length_c 5.138
_cell_angle_alpha 90.00
_cell_angle_beta 90.00
_cell_angle_gamma 90.00
_space_group_name_H-M_alt 'P m -3 m'
_space_group_IT_number 221
_space_group_name_Hall '-P 4 2 3'
loop_
_atom_site_label
_atom_site_type_symbol
_atom_site_fract_x
_atom_site_fract_y
_atom_site_fract_z
Zr1 Zr 0.000 0.000 0.000
V1 V 0.500 0.500 0.500
As1 As 0.000 0.000 0.500
```


Q: Which of them is the least stable? A: run two.


Run one
ZrV2As | PBE | relaxed

```
data_ZrV2As
_chemical_formula_sum 'Zr4 V8 As4'
_cell_length_a 6.254
_cell_length_b 6.254
_cell_length_c 6.254
_cell_angle_alpha 90.00
_cell_angle_beta 90.00
_cell_angle_gamma 90.00
_space_group_name_H-M_alt 'F m -3 m'
_space_group_IT_number 225
_space_group_name_Hall '-F 4 2 3'
loop_
_atom_site_label
_atom_site_type_symbol
_atom_site_fract_x
_atom_site_fract_y
_atom_site_fract_z
Zr1 Zr 0.000 0.000 0.000
V1 V 0.250 0.250 0.250
As1 As 0.000 0.000 0.500
```


Run two
ZrV2As | PBE | relaxed

```
data_ZrV2As
_chemical_formula_sum 'Zr4 V8 As4'
_cell_length_a 7.407
_cell_length_b 7.407
_cell_length_c 5.222
_cell_angle_alpha 90.00
_cell_angle_beta 90.00
_cell_angle_gamma 90.00
_space_group_name_H-M_alt 'I -4 2 d'
_space_group_IT_number 122
_space_group_name_Hall 'I -4 2bw'
loop_
_atom_site_label
_atom_site_type_symbol
_atom_site_fract_x
_atom_site_fract_y
_atom_site_fract_z
Zr1 Zr 0.000 0.000 0.000
V1 V 0.193 0.250 0.625
As1 As 0.000 0.000 0.500
```


Q: Which of them is the least stable? A: run two.


Run one
AsW5 | PBE | relaxed

```
data_AsW5
_chemical_formula_sum 'As1 W5'
_cell_length_a 5.1854
_cell_length_b 5.1854
_cell_length_c 4.7205
_cell_angle_alpha 90.00
_cell_angle_beta 90.00
_cell_angle_gamma 120.00
_space_group_name_H-M_alt 'P 6/m m m'
_space_group_IT_number 191
_space_group_name_Hall '-P 6 2'
loop_
_atom_site_label
_atom_site_type_symbol
_atom_site_fract_x
_atom_site_fract_y
_atom_site_fract_z
As1 As 0.0000 0.0000 0.0000
W1 W 0.0000 0.5000 0.5000
W2 W 0.3333 0.6667 0.0000
```


Run two
AsW5 | PBE | relaxed

```
data_AsW5
_chemical_formula_sum 'As1 W5'
_cell_length_a 3.190
_cell_length_b 3.190
_cell_length_c 9.423
_cell_angle_alpha 90.00
_cell_angle_beta 90.00
_cell_angle_gamma 90.00
_space_group_name_H-M_alt 'P 4/m m m'
_space_group_IT_number 123
_space_group_name_Hall '-P 4 2'
loop_
_atom_site_label
_atom_site_type_symbol
_atom_site_fract_x
_atom_site_fract_y
_atom_site_fract_z
As1 As 0.000 0.000 0.000
W1 W 0.000 0.000 0.334
W2 W 0.500 0.500 0.165
W3 W 0.500 0.500 0.500
```


Q: Which of them is the least stable? A: run one.


Run one
As3W2 | PBE | relaxed

```
data_As3W2
_chemical_formula_sum 'As6 W4'
_cell_length_a 6.346
_cell_length_b 3.301
_cell_length_c 9.087
_cell_angle_alpha 90.00
_cell_angle_beta 106.55
_cell_angle_gamma 90.00
_space_group_name_H-M_alt 'P 1 21/m 1'
_space_group_IT_number 11
_space_group_name_Hall '-P 2yb'
loop_
_atom_site_label
_atom_site_type_symbol
_atom_site_fract_x
_atom_site_fract_y
_atom_site_fract_z
As1 As 0.122 0.250 0.131
As2 As 0.276 0.750 0.447
As3 As 0.355 0.250 0.777
W1 W 0.044 0.750 0.639
W2 W 0.311 0.750 0.990
```


Run two
As3W2 | PBE | relaxed

```
data_As3W2
_chemical_formula_sum 'As9 W6'
_cell_length_a 3.1709
_cell_length_b 3.1709
_cell_length_c 29.7495
_cell_angle_alpha 90.00
_cell_angle_beta 90.00
_cell_angle_gamma 120.00
_space_group_name_H-M_alt 'R -3 m'
_space_group_IT_number 166
_space_group_name_Hall '-R 3 2"'
loop_
_atom_site_label
_atom_site_type_symbol
_atom_site_fract_x
_atom_site_fract_y
_atom_site_fract_z
As1 As 0.0000 0.0000 0.0000
As2 As 0.0000 0.0000 0.2073
W1 W 0.0000 0.0000 0.3992
```


Run three
As3W2 | PBE | relaxed

```
data_As3W2
_chemical_formula_sum 'As3 W2'
_cell_length_a 4.3593
_cell_length_b 4.3593
_cell_length_c 5.4526
_cell_angle_alpha 90.00
_cell_angle_beta 90.00
_cell_angle_gamma 120.00
_space_group_name_H-M_alt 'P -3 m 1'
_space_group_IT_number 164
_space_group_name_Hall '-P 3 2"'
loop_
_atom_site_label
_atom_site_type_symbol
_atom_site_fract_x
_atom_site_fract_y
_atom_site_fract_z
As1 As 0.0000 0.0000 0.0000
As2 As 0.3333 0.6667 0.3505
W1 W 0.3333 0.6667 0.8535
```


Run four
As3W2 | PBE | relaxed

```
data_As3W2
_chemical_formula_sum 'As12 W8'
_cell_length_a 13.486
_cell_length_b 3.305
_cell_length_c 9.697
_cell_angle_alpha 90.00
_cell_angle_beta 124.83
_cell_angle_gamma 90.00
_space_group_name_H-M_alt 'C 1 2/m 1'
_space_group_IT_number 12
_space_group_name_Hall '-C 2y'
loop_
_atom_site_label
_atom_site_type_symbol
_atom_site_fract_x
_atom_site_fract_y
_atom_site_fract_z
As1 As 0.084 0.000 0.314
As2 As 0.106 0.500 0.630
As3 As 0.124 0.500 0.047
W1 W 0.153 0.000 0.872
W2 W 0.247 0.500 0.372
```


Q: Which of them is the least stable? A: run three.


Run one
As2W3 | PBE | relaxed

```
data_As2W3
_chemical_formula_sum 'As2 W3'
_cell_length_a 4.0980
_cell_length_b 4.0980
_cell_length_c 5.9046
_cell_angle_alpha 90.00
_cell_angle_beta 90.00
_cell_angle_gamma 120.00
_space_group_name_H-M_alt 'P -3 m 1'
_space_group_IT_number 164
_space_group_name_Hall '-P 3 2"'
loop_
_atom_site_label
_atom_site_type_symbol
_atom_site_fract_x
_atom_site_fract_y
_atom_site_fract_z
As1 As 0.3333 0.6667 0.3044
W1 W 0.0000 0.0000 0.5000
W2 W 0.3333 0.6667 0.8697
```


Run two
As2W3 | PBE | relaxed

```
data_As2W3
_chemical_formula_sum 'As6 W9'
_cell_length_a 3.0090
_cell_length_b 3.0090
_cell_length_c 30.7432
_cell_angle_alpha 90.00
_cell_angle_beta 90.00
_cell_angle_gamma 120.00
_space_group_name_H-M_alt 'R -3 m'
_space_group_IT_number 166
_space_group_name_Hall '-R 3 2"'
loop_
_atom_site_label
_atom_site_type_symbol
_atom_site_fract_x
_atom_site_fract_y
_atom_site_fract_z
As1 As 0.0000 0.0000 0.1003
W1 W 0.0000 0.0000 0.2987
W2 W 0.0000 0.0000 0.5000
```


Q: Which of them is the least stable? A: run one.


Run one
YAsW | PBE | relaxed

```
data_YAsW
_chemical_formula_sum 'Y1 As1 W1'
_cell_length_a 3.4945
_cell_length_b 3.4945
_cell_length_c 6.0060
_cell_angle_alpha 90.00
_cell_angle_beta 90.00
_cell_angle_gamma 120.00
_space_group_name_H-M_alt 'P 3 m 1'
_space_group_IT_number 156
_space_group_name_Hall 'P 3 -2"'
loop_
_atom_site_label
_atom_site_type_symbol
_atom_site_fract_x
_atom_site_fract_y
_atom_site_fract_z
Y1 Y 0.0000 0.0000 0.0000
As1 As 0.6667 0.3333 0.3498
W1 W 0.3333 0.6667 0.6067
```


Run two
YAsW | PBE | relaxed

```
data_YAsW
_chemical_formula_sum 'Y4 As4 W4'
_cell_length_a 6.359
_cell_length_b 6.359
_cell_length_c 6.359
_cell_angle_alpha 90.00
_cell_angle_beta 90.00
_cell_angle_gamma 90.00
_space_group_name_H-M_alt 'F -4 3 m'
_space_group_IT_number 216
_space_group_name_Hall 'F -4 2 3'
loop_
_atom_site_label
_atom_site_type_symbol
_atom_site_fract_x
_atom_site_fract_y
_atom_site_fract_z
Y1 Y 0.000 0.000 0.000
As1 As 0.250 0.250 0.750
W1 W 0.000 0.000 0.500
```


Run three
YAsW | PBE | relaxed

```
data_YAsW
_chemical_formula_sum 'Y1 As1 W1'
_cell_length_a 4.3299
_cell_length_b 4.3299
_cell_length_c 3.9183
_cell_angle_alpha 90.00
_cell_angle_beta 90.00
_cell_angle_gamma 120.00
_space_group_name_H-M_alt 'P -6 m 2'
_space_group_IT_number 187
_space_group_name_Hall 'P -6 2'
loop_
_atom_site_label
_atom_site_type_symbol
_atom_site_fract_x
_atom_site_fract_y
_atom_site_fract_z
Y1 Y 0.0000 0.0000 0.0000
As1 As 0.6667 0.3333 0.5000
W1 W 0.3333 0.6667 0.5000
```


Run four
YAsW | PBE | relaxed

```
data_YAsW
_chemical_formula_sum 'Y2 As2 W2'
_cell_length_a 3.354
_cell_length_b 3.354
_cell_length_c 10.646
_cell_angle_alpha 90.00
_cell_angle_beta 90.00
_cell_angle_gamma 90.00
_space_group_name_H-M_alt 'I 4 m m'
_space_group_IT_number 107
_space_group_name_Hall 'I 4 -2'
loop_
_atom_site_label
_atom_site_type_symbol
_atom_site_fract_x
_atom_site_fract_y
_atom_site_fract_z
Y1 Y 0.000 0.000 0.000
As1 As 0.000 0.000 0.301
W1 W 0.000 0.000 0.697
```


Q: Which of them is the least stable? A: run two.


Run one
YAs3W | PBE | relaxed

```
data_YAs3W
_chemical_formula_sum 'Y1 As3 W1'
_cell_length_a 4.912
_cell_length_b 4.912
_cell_length_c 4.912
_cell_angle_alpha 90.00
_cell_angle_beta 90.00
_cell_angle_gamma 90.00
_space_group_name_H-M_alt 'P m -3 m'
_space_group_IT_number 221
_space_group_name_Hall '-P 4 2 3'
loop_
_atom_site_label
_atom_site_type_symbol
_atom_site_fract_x
_atom_site_fract_y
_atom_site_fract_z
Y1 Y 0.000 0.000 0.000
As1 As 0.000 0.500 0.500
W1 W 0.500 0.500 0.500
```


Run two
YAs3W | PBE | relaxed

```
data_YAs3W
_chemical_formula_sum 'Y1 As3 W1'
_cell_length_a 5.189
_cell_length_b 5.189
_cell_length_c 5.189
_cell_angle_alpha 90.00
_cell_angle_beta 90.00
_cell_angle_gamma 90.00
_space_group_name_H-M_alt 'P m -3 m'
_space_group_IT_number 221
_space_group_name_Hall '-P 4 2 3'
loop_
_atom_site_label
_atom_site_type_symbol
_atom_site_fract_x
_atom_site_fract_y
_atom_site_fract_z
Y1 Y 0.000 0.000 0.000
As1 As 0.000 0.000 0.500
W1 W 0.500 0.500 0.500
```


Q: Which of them is the least stable? A: run two.


Run one
YAsW3 | PBE | relaxed

```
data_YAsW3
_chemical_formula_sum 'Y1 As1 W3'
_cell_length_a 4.698
_cell_length_b 4.698
_cell_length_c 4.698
_cell_angle_alpha 90.00
_cell_angle_beta 90.00
_cell_angle_gamma 90.00
_space_group_name_H-M_alt 'P m -3 m'
_space_group_IT_number 221
_space_group_name_Hall '-P 4 2 3'
loop_
_atom_site_label
_atom_site_type_symbol
_atom_site_fract_x
_atom_site_fract_y
_atom_site_fract_z
Y1 Y 0.000 0.000 0.000
As1 As 0.500 0.500 0.500
W1 W 0.000 0.500 0.500
```


Run two
YAsW3 | PBE | relaxed

```
data_YAsW3
_chemical_formula_sum 'Y1 As1 W3'
_cell_length_a 4.862
_cell_length_b 4.862
_cell_length_c 4.862
_cell_angle_alpha 90.00
_cell_angle_beta 90.00
_cell_angle_gamma 90.00
_space_group_name_H-M_alt 'P m -3 m'
_space_group_IT_number 221
_space_group_name_Hall '-P 4 2 3'
loop_
_atom_site_label
_atom_site_type_symbol
_atom_site_fract_x
_atom_site_fract_y
_atom_site_fract_z
Y1 Y 0.000 0.000 0.000
As1 As 0.500 0.500 0.500
W1 W 0.000 0.000 0.500
```


Q: Which of them is the least stable? A: run two.


Run one
ZnAsW2 | PBE | relaxed

```
data_ZnAsW2
_chemical_formula_sum 'Zn4 As4 W8'
_cell_length_a 6.351
_cell_length_b 6.351
_cell_length_c 6.351
_cell_angle_alpha 90.00
_cell_angle_beta 90.00
_cell_angle_gamma 90.00
_space_group_name_H-M_alt 'F -4 3 m'
_space_group_IT_number 216
_space_group_name_Hall 'F -4 2 3'
loop_
_atom_site_label
_atom_site_type_symbol
_atom_site_fract_x
_atom_site_fract_y
_atom_site_fract_z
Zn1 Zn 0.000 0.000 0.000
As1 As 0.250 0.250 0.250
W1 W 0.000 0.000 0.500
W2 W 0.250 0.250 0.750
```


Run two
ZnAsW2 | PBE | relaxed

```
data_ZnAsW2
_chemical_formula_sum 'Zn1 As1 W2'
_cell_length_a 3.036
_cell_length_b 3.036
_cell_length_c 6.640
_cell_angle_alpha 90.00
_cell_angle_beta 90.00
_cell_angle_gamma 90.00
_space_group_name_H-M_alt 'P 4/m m m'
_space_group_IT_number 123
_space_group_name_Hall '-P 4 2'
loop_
_atom_site_label
_atom_site_type_symbol
_atom_site_fract_x
_atom_site_fract_y
_atom_site_fract_z
Zn1 Zn 0.000 0.000 0.000
As1 As 0.000 0.000 0.500
W1 W 0.500 0.500 0.264
```


Q: Which of them is the least stable? A: run one.


Run one
ZnAsW2 | PBE | relaxed

```
data_ZnAsW2
_chemical_formula_sum 'Zn2 As2 W4'
_cell_length_a 3.202
_cell_length_b 4.700
_cell_length_c 8.456
_cell_angle_alpha 90.00
_cell_angle_beta 90.00
_cell_angle_gamma 90.00
_space_group_name_H-M_alt 'C m m m'
_space_group_IT_number 65
_space_group_name_Hall '-C 2 2'
loop_
_atom_site_label
_atom_site_type_symbol
_atom_site_fract_x
_atom_site_fract_y
_atom_site_fract_z
Zn1 Zn 0.000 0.000 0.000
As1 As 0.000 0.000 0.500
W1 W 0.000 0.500 0.261
```


Run two
ZnAsW2 | PBE | relaxed

```
data_ZnAsW2
_chemical_formula_sum 'Zn4 As4 W8'
_cell_length_a 6.231
_cell_length_b 6.231
_cell_length_c 6.231
_cell_angle_alpha 90.00
_cell_angle_beta 90.00
_cell_angle_gamma 90.00
_space_group_name_H-M_alt 'F m -3 m'
_space_group_IT_number 225
_space_group_name_Hall '-F 4 2 3'
loop_
_atom_site_label
_atom_site_type_symbol
_atom_site_fract_x
_atom_site_fract_y
_atom_site_fract_z
Zn1 Zn 0.000 0.000 0.000
As1 As 0.000 0.000 0.500
W1 W 0.250 0.250 0.250
```


Q: Which of them is the least stable? A: run one.


Run one
ZnAsW2 | PBE | relaxed

```
data_ZnAsW2
_chemical_formula_sum 'Zn2 As2 W4'
_cell_length_a 9.281
_cell_length_b 3.020
_cell_length_c 4.556
_cell_angle_alpha 90.00
_cell_angle_beta 105.44
_cell_angle_gamma 90.00
_space_group_name_H-M_alt 'C 1 m 1'
_space_group_IT_number 8
_space_group_name_Hall 'C -2y'
loop_
_atom_site_label
_atom_site_type_symbol
_atom_site_fract_x
_atom_site_fract_y
_atom_site_fract_z
Zn1 Zn 0.000 0.000 0.000
As1 As 0.250 0.000 0.670
W1 W 0.011 0.500 0.503
W2 W 0.247 0.500 0.167
```


Run two
ZnAsW2 | PBE | relaxed

```
data_ZnAsW2
_chemical_formula_sum 'Zn2 As2 W4'
_cell_length_a 8.972
_cell_length_b 3.106
_cell_length_c 4.606
_cell_angle_alpha 90.00
_cell_angle_beta 96.70
_cell_angle_gamma 90.00
_space_group_name_H-M_alt 'C 1 2/m 1'
_space_group_IT_number 12
_space_group_name_Hall '-C 2y'
loop_
_atom_site_label
_atom_site_type_symbol
_atom_site_fract_x
_atom_site_fract_y
_atom_site_fract_z
Zn1 Zn 0.000 0.000 0.000
As1 As 0.000 0.500 0.500
W1 W 0.246 0.500 0.243
```


Q: Which of them is the least stable? A: run one.


Run one
ZnAs2W2 | PBE | relaxed

```
data_ZnAs2W2
_chemical_formula_sum 'Zn2 As4 W4'
_cell_length_a 4.373
_cell_length_b 4.373
_cell_length_c 9.642
_cell_angle_alpha 90.00
_cell_angle_beta 90.00
_cell_angle_gamma 90.00
_space_group_name_H-M_alt 'I 4/m m m'
_space_group_IT_number 139
_space_group_name_Hall '-I 4 2'
loop_
_atom_site_label
_atom_site_type_symbol
_atom_site_fract_x
_atom_site_fract_y
_atom_site_fract_z
Zn1 Zn 0.000 0.000 0.000
As1 As 0.000 0.000 0.375
W1 W 0.000 0.500 0.250
```


Run two
ZnAs2W2 | PBE | relaxed

```
data_ZnAs2W2
_chemical_formula_sum 'Zn2 As4 W4'
_cell_length_a 7.074
_cell_length_b 7.074
_cell_length_c 3.293
_cell_angle_alpha 90.00
_cell_angle_beta 90.00
_cell_angle_gamma 90.00
_space_group_name_H-M_alt 'P 4/m b m'
_space_group_IT_number 127
_space_group_name_Hall '-P 4 2ab'
loop_
_atom_site_label
_atom_site_type_symbol
_atom_site_fract_x
_atom_site_fract_y
_atom_site_fract_z
Zn1 Zn 0.000 0.000 0.000
As1 As 0.150 0.350 0.500
W1 W 0.143 0.643 0.000
```


Q: Which of them is the least stable? A: run one.